Here is an optimized crystal structure of Sm3Ir8Rh from Alexandria. Energies are from PBE-GGA.

Lattice parameters (Å, degrees): 9.2842 9.2842 9.2842 33.59 33.59 33.59
Atoms (fractional coordinates):
Sm  0.0000  0.0000  0.0000
Sm  0.1301  0.1301  0.1301
Sm  0.5166  0.5166  0.5166
Ir  0.0674  0.0674  0.5709
Ir  0.0674  0.5709  0.0674
Ir  0.0684  0.5650  0.5650
Ir  0.3156  0.3156  0.3156
Ir  0.5650  0.0684  0.5650
Ir  0.5650  0.5650  0.0684
Ir  0.5709  0.0674  0.0674
Ir  0.8174  0.8174  0.8174
Rh  0.6490  0.6490  0.6490

Calculated values
Calculated total energy, eV/atom: -8.163
E_form, eV per atom: -0.463